[1]
Here is a relaxed LiPmPuO6 crystal from Alexandria. Energies are from PBE.

**Raw formation energy**: -2.418 eV per atom
**M_tot**: 0.068 μB per cell
**VASP energy**: -8.057 eV per atom

Geometry as POSCAR:
```
LiPmPuO6
1.0
-4.3831 2.0006 1.5554
-2.3306 -4.7958 -0.3993
2.3046 1.4784 4.5928
O Pu Li Pm
6 1 1 1
direct
0.2808 0.9665 0.6437
0.7192 0.3563 0.0335
0.2808 0.6772 0.0335
0.2808 0.3563 0.3228
0.7192 0.9665 0.3228
0.7192 0.6772 0.6437
0.5000 0.6667 0.3333
0.5000 0.0000 0.0000
0.0000 0.3333 0.6667
```


[2]
Here is a relaxed CaBe2 crystal from Alexandria. Energies are from PBE.

**ΔH_f (0 K)**: 0.346 eV per atom
**M_tot**: 0.000 μB per cell
**VASP energy**: -2.806 eV per atom
**Relative energy among the computed polymorphs**: 0.49 eV per formula unit

Geometry as POSCAR:
```
CaBe2
1.0
2.6325 1.8147 4.0102
1.1583 4.9894 0.2615
-2.3273 2.9953 3.4520
Be Ca
4 2
direct
0.1250 0.1250 0.1250
0.1250 0.1250 0.6250
0.6250 0.1250 0.1250
0.1250 0.6250 0.1250
0.5000 0.5000 0.5000
0.7500 0.7500 0.7500
```


[3]
Here is a relaxed Rb2PdICl6 crystal from Alexandria. Energies are from PBE.

**Raw formation energy**: -0.968 eV per atom
**M_tot**: 0.000 μB per cell
**VASP energy**: -2.944 eV per atom

Geometry as POSCAR:
```
Rb2PdICl6
1.0
-0.0889 4.0956 6.1785
-7.4056 0.2022 -0.2378
-3.9874 -2.6351 6.1469
Cl I Pd Rb
6 1 1 2
direct
0.2350 0.7652 0.0000
0.7652 0.7650 0.0003
0.7941 0.7941 0.4114
0.2059 0.2059 0.5886
0.2348 0.2350 0.9997
0.7650 0.2348 0.0000
0.5000 0.5000 0.0000
0.0000 0.0000 0.0000
0.2499 0.7497 0.5004
0.7501 0.2503 0.4996
```


[4]
Here is a relaxed LaCeGeI crystal from Alexandria. Energies are from PBE.

**Raw formation energy**: -0.956 eV per atom
**M_tot**: 0.949 μB per cell
**VASP energy**: -5.213 eV per atom

Geometry as POSCAR:
```
LaCeGeI
1.0
4.3408 -0.0003 -0.0003
-2.1697 3.7600 0.0000
-2.1700 -1.2530 7.9019
Ge La Ce I
1 1 1 1
direct
0.3098 0.5528 0.8778
0.5006 0.1482 0.6641
0.1049 0.9504 0.0706
0.9626 0.3795 0.3572
```


[5]
Here is a relaxed RbFe2Ge crystal from Alexandria. Energies are from PBE.

**ΔH_f (0 K)**: 0.737 eV per atom
**M_tot**: 10.182 μB per cell
**VASP energy**: -4.890 eV per atom

Geometry as POSCAR:
```
RbFe2Ge
1.0
4.9702 0.0000 0.0000
0.0000 4.9702 0.0000
2.4851 2.4851 8.3991
Fe Ge Rb
4 2 2
direct
0.8750 0.6212 0.7500
0.3712 0.1250 0.2500
0.3750 0.6288 0.7500
0.3788 0.6250 0.2500
0.2500 0.7500 0.5000
0.5000 0.5000 0.0000
0.0000 0.0000 0.0000
0.7500 0.2500 0.5000
```


[6]
Here is a relaxed In3Ir crystal from Alexandria. Energies are from PBE.

**ΔH_f (0 K)**: 0.018 eV per atom
**M_tot**: 0.000 μB per cell
**VASP energy**: -4.252 eV per atom

Geometry as POSCAR:
```
In3Ir
1.0
3.1488 -0.0033 0.0000
0.0026 3.1488 0.0000
0.0000 0.0000 8.8350
In Ir
3 1
direct
0.0000 0.0000 0.4492
0.0000 0.0000 0.0508
0.5000 0.5000 0.7500
0.5000 0.5000 0.2500
```


[7]
Here is a relaxed ZrMnIr crystal from Alexandria. Energies are from PBE.

**ΔH_f (0 K)**: -0.382 eV per atom
**M_tot**: 7.219 μB per cell
**VASP energy**: -9.242 eV per atom

Geometry as POSCAR:
```
ZrMnIr
1.0
-0.9670 1.0509 3.0541
-3.6789 -2.3912 -0.3420
3.6998 -5.8833 1.3348
Zr Ir Mn
2 2 2
direct
0.9097 0.2500 0.8195
0.0903 0.7500 0.1805
0.5801 0.2500 0.1601
0.4199 0.7500 0.8399
0.2370 0.2500 0.4741
0.7630 0.7500 0.5259
```


[8]
Here is a relaxed Nd2SmZn6 crystal from Alexandria. Energies are from PBE.

**ΔH_f (0 K)**: -0.352 eV per atom
**M_tot**: 0.001 μB per cell
**VASP energy**: -2.785 eV per atom

Geometry as POSCAR:
```
Nd2SmZn6
1.0
-0.7237 -2.6571 -2.3367
4.9502 -4.7794 3.9015
-7.6388 0.2931 2.0325
Zn Nd Sm
6 2 1
direct
0.5000 0.0000 0.3319
0.5000 0.3319 0.3319
0.5000 0.6681 0.0000
0.5000 0.3319 0.0000
0.5000 0.6681 0.6681
0.5000 0.0000 0.6681
0.0000 0.6667 0.3333
0.0000 0.3333 0.6667
0.0000 0.0000 0.0000
```


[9]
Here is a relaxed HgIrNO2 crystal from Alexandria. Energies are from PBE.

**Raw formation energy**: 2.002 eV per atom
**M_tot**: 4.397 μB per cell
**VASP energy**: -3.478 eV per atom

Geometry as POSCAR:
```
HgIrNO2
1.0
4.2078 0.0000 0.0000
0.0000 4.2078 0.0000
0.0000 0.0000 4.1554
N O Ir Hg
1 2 1 1
direct
0.0000 0.0000 0.5000
0.0000 0.5000 0.0000
0.5000 0.0000 0.0000
0.5000 0.5000 0.5000
0.0000 0.0000 0.0000
```


[10]
Here is a relaxed PuCoP2 crystal from Alexandria. Energies are from PBE.

**ΔH_f (0 K)**: -0.796 eV per atom
**M_tot**: 4.243 μB per cell
**VASP energy**: -8.860 eV per atom

Geometry as POSCAR:
```
PuCoP2
1.0
3.8389 -0.0025 0.0004
0.0029 3.8402 -0.0016
-1.9212 -1.9168 4.4822
Co P Pu
1 2 1
direct
0.4714 0.6312 0.7283
0.8499 0.5097 0.4852
0.5927 0.2525 0.9709
0.2213 0.8813 0.2283
```


[11]
Here is a relaxed SrHoEr4Se8 crystal from Alexandria. Energies are from PBE.

**Raw formation energy**: -1.778 eV per atom
**M_tot**: 0.000 μB per cell
**VASP energy**: -5.519 eV per atom

Geometry as POSCAR:
```
SrHoEr4Se8
1.0
-4.1623 -7.2677 -1.2478
1.7916 -6.7749 4.7531
-5.5873 -2.7231 5.7672
Er Se Sr Ho
4 8 1 1
direct
0.6250 0.6250 0.1249
0.0018 0.4945 0.5019
0.0018 0.0018 0.5019
0.4945 0.0018 0.5019
0.7570 0.2277 0.2583
0.7915 0.2369 0.7347
0.2277 0.7570 0.2583
0.2358 0.2358 0.2926
0.7570 0.7570 0.2583
0.2369 0.2369 0.7347
0.2369 0.7915 0.7347
0.7575 0.7575 0.7274
0.3745 0.3745 0.8765
0.0021 0.0021 0.9938
```


[12]
Here is a relaxed La2CePmN4 crystal from Alexandria. Energies are from PBE.

**Raw formation energy**: -1.405 eV per atom
**M_tot**: 0.000 μB per cell
**VASP energy**: -8.135 eV per atom

Geometry as POSCAR:
```
La2CePmN4
1.0
-3.3593 0.2224 -1.4379
0.1756 -6.1656 -1.3636
-2.4378 0.7927 5.8180
N Pm Ce La
4 1 1 2
direct
0.5000 0.2373 0.2315
0.0000 0.7543 0.2358
0.0000 0.2457 0.7642
0.5000 0.7627 0.7685
0.5000 0.5000 0.0000
0.0000 0.0000 0.0000
0.5000 0.0000 0.5000
0.0000 0.5000 0.5000
```


[13]
Here is a relaxed YCu2Ni crystal from Alexandria. Energies are from PBE.

**ΔH_f (0 K)**: -0.224 eV per atom
**M_tot**: 0.000 μB per cell
**VASP energy**: -5.333 eV per atom
**Relative energy among the computed polymorphs**: 0.15 eV per formula unit

Geometry as POSCAR:
```
YCu2Ni
1.0
4.1281 0.0063 -0.0080
2.0659 3.5740 -0.0080
2.0636 1.1928 4.5366
Ni Cu Y
1 2 1
direct
0.4524 0.4524 0.6428
0.0441 0.0441 0.8675
0.7557 0.7557 0.7329
0.2478 0.2478 0.2568
```